NbTl2OF | PBE-GGA | optimized geometry

The structure belongs to space group P4/mmm (No. 123); the cell edges are 5.654, 5.654 and 4.070 Å and the angles 90.00°, 90.00° and 90.00°. The inequivalent atoms are Nb at (0.000, 0.000, 0.000), Tl at (0.000, 0.500, 0.000), O at (0.500, 0.500, 0.500) and F at (0.000, 0.000, 0.500).

The calculation puts the total energy at -4.31 eV per atom. As for the density of states at the Fermi level: 5.59 states/eV per cell. The magnetic moment comes out at 0.534 μB per atom. The calculation puts the formation energy (no corrections) at 0.27 kcal/mol of atoms.